Entry 1:
Material: Co2NiSbH
Method: DFT, PBE
State: relaxed

Results
Space-group type   P4/mmm (123)

```
data_Co2NiSbH
_chemical_formula_sum 'Co2 Ni1 Sb1 H1'
_cell_length_a 3.771
_cell_length_b 3.771
_cell_length_c 3.692
_cell_angle_alpha 90.00
_cell_angle_beta 90.00
_cell_angle_gamma 90.00
_space_group_name_H-M_alt 'P 1'
_space_group_IT_number 1
_space_group_name_Hall 'P 1'
loop_
_atom_site_label
_atom_site_type_symbol
_atom_site_fract_x
_atom_site_fract_y
_atom_site_fract_z
Ni1 Ni 0.000 0.000 0.500
Sb1 Sb 0.500 0.500 0.500
Co1 Co 0.000 0.500 0.000
Co2 Co 0.500 0.000 0.000
H1 H 0.000 0.000 0.000
```

=====

Entry 2:
Material: BaAsOs2
Method: DFT, PBE
State: relaxed

Results
Space-group type   I-42d (122)
ΔE_f   35.2 kJ/mol of atoms

```
data_BaAsOs2
_chemical_formula_sum 'Ba2 As2 Os4'
_cell_length_a 4.987
_cell_length_b 4.987
_cell_length_c 9.173
_cell_angle_alpha 74.23
_cell_angle_beta 74.23
_cell_angle_gamma 90.00
_space_group_name_H-M_alt 'P 1'
_space_group_IT_number 1
_space_group_name_Hall 'P 1'
loop_
_atom_site_label
_atom_site_type_symbol
_atom_site_fract_x
_atom_site_fract_y
_atom_site_fract_z
Os1 Os 0.375 0.635 0.750
Os2 Os 0.875 0.615 0.750
As1 As 0.250 0.750 0.500
Ba1 Ba 0.000 0.000 0.000
As2 As 0.500 0.500 0.000
Ba2 Ba 0.750 0.250 0.500
Os3 Os 0.365 0.125 0.250
Os4 Os 0.385 0.625 0.250
```

=====

Result set for VASP energy: -5.5535, -6.8933 eV/atom, one per record in the order listed.